No. 1
Nd3AlI2Cl (PBE, optimized geometry); VASP energy = -4.3469 eV per atom
1.0
-1.753 -4.572 -3.660
4.786 1.084 -3.646
3.468 -4.018 3.358
Nd Cl I Al
3 1 2 1
Cartesian
0.000 0.000 0.000
0.858 -4.295 -0.151
4.127 -1.467 -0.144
3.251 -3.753 -1.974
2.393 0.542 -1.823
-0.876 -2.286 -1.830
1.734 -2.009 1.679

---

No. 2
Nd3AlICl2 (PBE, optimized geometry); VASP energy = -4.5613 eV per atom
1.0
-2.200 -1.605 -5.467
-1.586 -5.456 2.240
-5.246 2.134 1.484
Al Cl Nd I
1 2 3 1
Cartesian
-2.623 1.067 0.742
-0.793 -2.728 1.120
-1.100 -0.803 -2.733
0.000 0.000 0.000
-3.416 -1.661 1.862
-3.723 0.264 -1.991
-4.516 -2.464 -0.871

---

No. 3
K2AlNiCl6 (PBE, optimized geometry); VASP energy = -3.6157 eV per atom
1.0
6.836 0.000 0.000
-0.003 6.839 0.000
0.000 -0.003 9.682
Cl K Ni Al
12 4 2 2
Cartesian
6.483 0.341 2.362
4.795 5.377 4.852
3.064 3.753 7.203
1.355 1.989 0.011
3.085 3.764 2.479
1.353 2.138 4.830
4.849 2.038 9.676
4.795 5.536 9.672
4.693 2.038 4.845
1.453 5.478 4.837
6.505 0.344 7.320
1.302 5.489 0.006
3.076 0.339 7.261
3.075 0.341 2.420
6.493 3.759 7.265
6.492 3.763 2.418
6.493 0.338 4.841
3.075 3.764 0.000
6.494 0.345 0.000
3.074 3.758 4.841

---

No. 4
LaNd2AlCl3 (PBE, optimized geometry); VASP energy = -4.8507 eV per atom
1.0
-5.508 1.453 1.515
-1.535 0.117 -5.690
-1.441 -5.742 0.271
Cl Nd La Al
3 2 1 1
Cartesian
-0.767 0.058 -2.845
-4.241 -2.086 -1.952
-2.754 0.727 0.758
-1.488 -2.813 -2.709
-3.474 -2.144 0.893
0.000 0.000 0.000
-0.720 -2.871 0.135